[1]
# PBE-GGA DyMnGe2Os, optimized geometry
data_DyMnGe2Os
_chemical_formula_sum 'Dy2 Mn2 Ge4 Os2'
_space_group_name_H-M_alt 'I -4 m 2'
_space_group_IT_number 119
_space_group_name_Hall 'I -4 -2'
_cell_length_a 4.045
_cell_length_b 4.045
_cell_length_c 10.690
_cell_angle_alpha 90.00
_cell_angle_beta 90.00
_cell_angle_gamma 90.00
loop_
_atom_site_label
_atom_site_fract_x
_atom_site_fract_y
_atom_site_fract_z
Dy1 0.000 0.000 0.000
Mn1 0.000 0.500 0.750
Ge1 0.000 0.000 0.382
Os1 0.000 0.500 0.250
# M_tot = 5.5 Bohr magnetons per cell
# Raw total energy = -7.32 eV per atom
# Fermi-level density of states = 0.2144 states/eV/atom

---

[2]
# PBE-GGA Dy2MnGe3Pt4, optimized geometry
data_Dy2MnGe3Pt4
_chemical_formula_sum 'Dy2 Mn1 Ge3 Pt4'
_space_group_name_H-M_alt 'P -4 m 2'
_space_group_IT_number 115
_cell_length_a 4.105
_cell_length_b 4.105
_cell_length_c 11.007
_cell_angle_alpha 90.00
_cell_angle_beta 90.00
_cell_angle_gamma 90.00
loop_
_space_group_symop_operation_xyz
'x,y,z'
'y,-x,-z'
'-x,-y,z'
'-y,x,-z'
'-x,y,z'
'-y,-x,-z'
'x,-y,z'
'y,x,-z'
loop_
_atom_site_label
_atom_site_fract_x
_atom_site_fract_y
_atom_site_fract_z
Dy1 0.000 0.500 0.246
Mn1 0.000 0.000 0.500
Ge1 0.000 0.500 0.863
Ge2 0.500 0.500 0.500
Pt1 0.000 0.000 0.000
Pt2 0.000 0.500 0.643
Pt3 0.500 0.500 0.000
# M_tot = 3.6 Bohr magnetons per cell
# Raw total energy = -6.46 eV per atom
# Fermi-level density of states = 0.7845 states/eV/atom

---

[3]
# PBE-GGA DyMn2SiGe, optimized geometry
data_DyMn2SiGe
_chemical_formula_sum 'Dy2 Mn4 Si2 Ge2'
_space_group_name_H-M_alt 'I 4 m m'
_space_group_IT_number 107
_space_group_name_Hall 'I 4 -2'
_cell_length_a 3.908
_cell_length_b 3.908
_cell_length_c 10.585
_cell_angle_alpha 90.00
_cell_angle_beta 90.00
_cell_angle_gamma 90.00
loop_
_atom_site_label
_atom_site_fract_x
_atom_site_fract_y
_atom_site_fract_z
Dy1 0.000 0.000 0.000
Mn1 0.000 0.500 0.257
Si1 0.000 0.000 0.381
Ge1 0.000 0.000 0.620
# M_tot = 7.6 Bohr magnetons per cell
# E_form (uncorrected) = -0.55 eV/atom
# Fermi-level density of states = 0.6119 states/eV/atom

---

[4]
# PBE-GGA DyTaMnGe2, optimized geometry
data_DyTaMnGe2
_chemical_formula_sum 'Dy2 Ta2 Mn2 Ge4'
_space_group_name_H-M_alt 'I -4 m 2'
_space_group_IT_number 119
_space_group_name_Hall 'I -4 -2'
_cell_length_a 3.960
_cell_length_b 3.960
_cell_length_c 11.696
_cell_angle_alpha 90.00
_cell_angle_beta 90.00
_cell_angle_gamma 90.00
loop_
_atom_site_label
_atom_site_fract_x
_atom_site_fract_y
_atom_site_fract_z
Dy1 0.000 0.000 0.000
Ta1 0.000 0.500 0.750
Mn1 0.000 0.500 0.250
Ge1 0.000 0.000 0.392
# M_tot = 3.4 Bohr magnetons per cell
# Raw total energy = -7.41 eV per atom
# Fermi-level density of states = 0.6630 states/eV/atom

---

[5]
# PBE-GGA DyMnTcGe2, optimized geometry
data_DyMnTcGe2
_chemical_formula_sum 'Dy2 Mn2 Tc2 Ge4'
_space_group_name_H-M_alt 'I -4 m 2'
_space_group_IT_number 119
_space_group_name_Hall 'I -4 -2'
_cell_length_a 4.033
_cell_length_b 4.033
_cell_length_c 10.892
_cell_angle_alpha 90.00
_cell_angle_beta 90.00
_cell_angle_gamma 90.00
loop_
_atom_site_label
_atom_site_fract_x
_atom_site_fract_y
_atom_site_fract_z
Dy1 0.000 0.000 0.000
Mn1 0.000 0.500 0.750
Tc1 0.000 0.500 0.250
Ge1 0.000 0.000 0.383
# M_tot = 5.8 Bohr magnetons per cell
# Raw total energy = -7.15 eV per atom
# Fermi-level density of states = 0.8392 states/eV/atom

---

[6]
# PBE-GGA Dy3Ge4Mo2, optimized geometry
data_Dy3Ge4Mo2
_chemical_formula_sum 'Dy6 Ge8 Mo4'
_space_group_name_H-M_alt 'C 1 2/m 1'
_space_group_IT_number 12
_cell_length_a 12.335
_cell_length_b 4.218
_cell_length_c 8.409
_cell_angle_alpha 90.00
_cell_angle_beta 118.88
_cell_angle_gamma 90.00
loop_
_space_group_symop_operation_xyz
'x,y,z'
'-x,-y,-z'
'-x,y,-z'
'x,-y,z'
'x+1/2,y+1/2,z'
'-x+1/2,-y+1/2,-z'
'-x+1/2,y+1/2,-z'
'x+1/2,-y+1/2,z'
loop_
_atom_site_label
_atom_site_fract_x
_atom_site_fract_y
_atom_site_fract_z
Dy1 0.000 0.000 0.000
Dy2 0.133 0.500 0.727
Ge1 0.064 0.000 0.405
Ge2 0.181 0.500 0.095
Mo1 0.192 0.500 0.396
# M_tot = 0.0 Bohr magnetons per cell
# Raw total energy = -6.54 eV per atom
# Fermi-level density of states = 0.4459 states/eV/atom

---

[7]
# PBE-GGA Dy2Ge4Mo3, optimized geometry
data_Dy2Ge4Mo3
_chemical_formula_sum 'Dy4 Ge8 Mo6'
_space_group_name_H-M_alt 'P 1 21/c 1'
_space_group_IT_number 14
_cell_length_a 6.994
_cell_length_b 7.057
_cell_length_c 6.920
_cell_angle_alpha 90.00
_cell_angle_beta 109.32
_cell_angle_gamma 90.00
loop_
_space_group_symop_operation_xyz
'x,y,z'
'-x,-y,-z'
'-x,y+1/2,-z+1/2'
'x,-y+1/2,z+1/2'
loop_
_atom_site_label
_atom_site_fract_x
_atom_site_fract_y
_atom_site_fract_z
Dy1 0.190 0.172 0.056
Ge1 0.092 0.547 0.859
Ge2 0.496 0.637 0.632
Mo1 0.249 0.658 0.248
Mo2 0.500 0.000 0.500
# M_tot = 0.0 Bohr magnetons per cell
# Raw total energy = -7.22 eV per atom
# Fermi-level density of states = 0.4912 states/eV/atom

---

[8]
# PBE-GGA Dy2Ge3Mo, optimized geometry
data_Dy2Ge3Mo
_chemical_formula_sum 'Dy4 Ge6 Mo2'
_space_group_name_H-M_alt 'I m m m'
_space_group_IT_number 71
_space_group_name_Hall '-I 2 2'
_cell_length_a 3.934
_cell_length_b 5.553
_cell_length_c 11.821
_cell_angle_alpha 90.00
_cell_angle_beta 90.00
_cell_angle_gamma 90.00
loop_
_atom_site_label
_atom_site_fract_x
_atom_site_fract_y
_atom_site_fract_z
Dy1 0.000 0.000 0.174
Ge1 0.000 0.500 0.145
Ge2 0.000 0.500 0.500
Mo1 0.000 0.000 0.500
# M_tot = 0.0 Bohr magnetons per cell
# Raw total energy = -6.01 eV per atom
# Fermi-level density of states = 0.4150 states/eV/atom